# 1
A plane-wave DFT calculation with GGA-PBE was carried out for a relaxed structure of CoRu.

Output
The value obtained for the formation energy is 1476.7 meV per atom. The space group is I-43m, No. 217.

Cell: 7.097 7.097 7.097 Å, 90.00 90.00 90.00°
Element x y z (fractional)
Ru 0.845 0.845 0.845
Co 0.162 0.838 0.838
Co 0.338 0.662 0.338
Ru 0.655 0.345 0.655
Co 0.662 0.338 0.338
Ru 0.655 0.655 0.345
Ru 0.155 0.155 0.845
Ru 0.155 0.845 0.155
Co 0.838 0.162 0.838
Co 0.838 0.838 0.162
Co 0.338 0.338 0.662
Co 0.162 0.162 0.162
Ru 0.345 0.345 0.345
Ru 0.345 0.655 0.655
Co 0.662 0.662 0.662
Ru 0.845 0.155 0.155

***

# 2
A plane-wave DFT calculation with GGA-PBE was carried out for a relaxed structure of Cs2BaAs2Se6.

Output
The value obtained for the formation energy without anion corrections is -0.77 eV/atom. The space group is C2/m, No. 12.

Cell: 7.837 7.897 7.971 Å, 97.44 90.00 119.75°
Element x y z (fractional)
Ba 0.500 0.000 0.500
Se 0.718 0.437 0.726
Se 0.273 0.067 0.182
Se 0.205 0.933 0.818
As 0.115 0.231 0.322
Se 0.795 0.067 0.182
Se 0.282 0.563 0.274
As 0.885 0.769 0.678
Se 0.727 0.933 0.818
Cs 0.217 0.434 0.813
Cs 0.783 0.566 0.187

***

# 3
A plane-wave DFT calculation with GGA-PBE was carried out for a relaxed structure of TbPm6Sm2Ho3.

Output
The value obtained for the formation energy is 13.4 meV per atom. The space group is C2/m, No. 12.

Cell: 6.257 6.257 11.909 Å, 95.01 95.01 119.99°
Element x y z (fractional)
Pm 0.417 0.084 0.252
Pm 0.583 0.916 0.748
Ho 0.167 0.833 0.500
Sm 0.333 0.667 0.000
Pm 0.249 0.249 0.748
Sm 0.667 0.333 0.000
Pm 0.084 0.417 0.252
Ho 0.500 0.500 0.500
Pm 0.916 0.583 0.748
Tb 0.000 0.000 0.000
Ho 0.833 0.167 0.500
Pm 0.751 0.751 0.252

***

# 4
A plane-wave DFT calculation with GGA-PBE was carried out for a relaxed structure of ScReSe2.

Output
The value obtained for the formation energy without anion corrections is -0.47 eV/atom. The space group is Immm, No. 71.

Cell: 6.928 6.928 6.928 Å, 150.15 143.67 47.71°
Site moments in Bohr magnetons follow the coordinates.
Element x y z (fractional)
Se 0.608 0.608 0.000  0.01
Sc 0.250 0.750 0.500  -0.01
Se 0.892 0.892 0.000  0.01
Re 0.750 0.250 0.500  0.40